# SrNb3Ga, optimized geometry, DFT PBE
# Total energy ... -29.763 eV per formula unit
# Distance to the lowest polymorph of the same formula ... 0 meV/atom
# N(E_F) ... 6.4 states/eV/cell
# Spin magnetization ... 0.000 μB per atom
# Crystal system ... cubic
data_SrNb3Ga
_space_group_name_H-M_alt 'P m -3 m'
_space_group_IT_number 221
_space_group_name_Hall '-P 4 2 3'
_cell_length_a 4.9798
_cell_length_b 4.9798
_cell_length_c 4.9798
_cell_angle_alpha 90.00
_cell_angle_beta 90.00
_cell_angle_gamma 90.00
loop_
_atom_site_label
_atom_site_type_symbol
_atom_site_fract_x
_atom_site_fract_y
_atom_site_fract_z
Sr1 Sr 0.0000 0.0000 0.0000
Nb1 Nb 0.0000 0.5000 0.5000
Ga1 Ga 0.5000 0.5000 0.5000